1.
A geometry-optimized Tl2InPt structure. Source: Alexandria, functional GGA-PBE.

Results
* spin magnetization: 0.000 μB per atom
* energy: -3.464 eV/atom
* mass density: 10.80 g/cm3
* volume: 27.62 A^3/atom

Cell lengths 7.0791, 4.1014, 7.9768 Å; angles 90.00, 107.44, 90.00 degrees
Space group Cm (No. 8)
Asymmetric unit:
Tl 0.0000 0.0000 0.0000 (multiplicity 2)
Tl 0.2259 0.0000 0.6802 (multiplicity 2)
In 0.2665 0.5000 0.3020 (multiplicity 2)
Pt 0.4902 0.0000 0.4739 (multiplicity 2)

2.
A geometry-optimized SrNiTe structure. Source: Alexandria, functional GGA-PBE.

Results
* spin magnetization: 0.000 μB per atom
* formation energy without anion corrections: -1.11 eV/f.u.
* energy: -3.905 eV/atom
* mass density: 5.68 g/cm3
* volume: 26.70 A^3/atom

Cell lengths 4.9987, 4.9987, 6.4123 Å; angles 90.00, 90.00, 90.00 degrees
Space group P4/nmm (No. 129, origin choice 2)
Asymmetric unit:
Sr 0.2500 0.2500 0.1492 (multiplicity 2)
Ni 0.2500 0.2500 0.6426 (multiplicity 2)
Te 0.2500 0.7500 0.5000 (multiplicity 2)

3.
A geometry-optimized Li2CuAg structure. Source: Alexandria, functional GGA-PBE.

Results
* spin magnetization: 0.000 μB per atom
* energy: -2.782 eV/atom
* mass density: 5.27 g/cm3
* volume: 14.61 A^3/atom

Cell lengths 4.0273, 4.0273, 3.6019 Å; angles 90.00, 90.00, 90.00 degrees
Space group P4/mmm (No. 123)
Asymmetric unit:
Li 0.0000 0.5000 0.0000 (multiplicity 2)
Cu 0.0000 0.0000 0.5000 (multiplicity 1)
Ag 0.5000 0.5000 0.5000 (multiplicity 1)

4.
A geometry-optimized Ag3Mo structure. Source: Alexandria, functional GGA-PBE.

Results
* spin magnetization: 1.021 μB per atom
* energy: -2.946 eV/atom
* mass density: 4.45 g/cm3
* volume: 39.12 A^3/atom

Cell lengths 5.3888, 5.3888, 5.3888 Å; angles 90.00, 90.00, 90.00 degrees
Space group Pm-3m (No. 221)
Asymmetric unit:
Ag 0.0000 0.0000 0.5000 (multiplicity 3)
Mo 0.0000 0.0000 0.0000 (multiplicity 1)

5.
A geometry-optimized Pm2Pr2Ru structure. Source: Alexandria, functional GGA-PBE.

Results
* spin magnetization: 0.000 μB per atom
* energy: -5.765 eV/atom
* mass density: 7.05 g/cm3
* volume: 31.70 A^3/atom

Cell lengths 7.5846, 12.2217, 7.5167 Å; angles 90.00, 114.50, 90.00 degrees
Space group C2/m (No. 12)
Asymmetric unit:
Pm 0.0496 0.2262 0.2534 (multiplicity 8)
Pr 0.2265 0.5000 0.9081 (multiplicity 4)
Pr 0.2431 0.0000 0.5921 (multiplicity 4)
Ru 0.0000 0.3719 0.5000 (multiplicity 4)

6.
A geometry-optimized MnFe3Mo2 structure. Source: Alexandria, functional GGA-PBE.

Results
* spin magnetization: 0.270 μB per atom
* energy: -9.407 eV/atom
* mass density: 9.28 g/cm3
* volume: 12.36 A^3/atom

Cell lengths 4.7124, 4.7124, 7.7134 Å; angles 90.00, 90.00, 120.00 degrees
Space group P6_3/mmc (No. 194)
Asymmetric unit:
Mn 0.0000 0.0000 0.0000 (multiplicity 2)
Fe 0.1721 0.3442 0.2500 (multiplicity 6)
Mo 0.3333 0.6667 0.5695 (multiplicity 4)

7.
A geometry-optimized MgGeAuBr2 structure. Source: Alexandria, functional GGA-PBE.

Results
* spin magnetization: 0.198 μB per atom
* formation energy without anion corrections: 1.72 eV/f.u.
* energy: -2.223 eV/atom
* mass density: 4.96 g/cm3
* volume: 30.40 A^3/atom

Cell lengths 5.3442, 5.3442, 5.3229 Å; angles 90.00, 90.00, 90.00 degrees
Space group P4/mmm (No. 123)
Asymmetric unit:
Mg 0.0000 0.0000 0.0000 (multiplicity 1)
Ge 0.5000 0.5000 0.0000 (multiplicity 1)
Au 0.0000 0.0000 0.5000 (multiplicity 1)
Br 0.0000 0.5000 0.5000 (multiplicity 2)

8.
A geometry-optimized K2Ac2TlO6 structure. Source: Alexandria, functional GGA-PBE.

Results
* spin magnetization: 0.092 μB per atom
* formation energy without anion corrections: -21.29 eV/f.u.
* energy: -5.802 eV/atom
* mass density: 5.79 g/cm3
* volume: 21.72 A^3/atom

Cell lengths 6.3252, 11.7581, 6.5973 Å; angles 90.00, 103.14, 90.00 degrees
Space group C2/m (No. 12)
Asymmetric unit:
K 0.0000 0.1539 0.0000 (multiplicity 4)
Ac 0.0000 0.3347 0.5000 (multiplicity 4)
Tl 0.0000 0.0000 0.5000 (multiplicity 2)
O 0.2247 0.1799 0.6955 (multiplicity 8)
O 0.2328 0.0000 0.3226 (multiplicity 4)

9.
A geometry-optimized MgPd3Pt3 structure. Source: Alexandria, functional GGA-PBE.

Results
* spin magnetization: 0.000 μB per atom
* energy: -5.097 eV/atom
* mass density: 12.56 g/cm3
* volume: 17.54 A^3/atom

Cell lengths 10.1261, 10.1261, 2.7656 Å; angles 90.00, 90.00, 120.00 degrees
Space group P6_3/m (No. 176)
Asymmetric unit:
Mg 0.3333 0.6667 0.2500 (multiplicity 2)
Pd 0.0791 0.2626 0.7500 (multiplicity 6)
Pt 0.0822 0.6262 0.7500 (multiplicity 6)

10.
A geometry-optimized MnAu2 structure. Source: Alexandria, functional GGA-PBE.

Results
* spin magnetization: 1.413 μB per atom
* energy: -5.279 eV/atom
* mass density: 14.48 g/cm3
* volume: 17.16 A^3/atom

Cell lengths 5.8095, 4.1833, 8.4717 Å; angles 90.00, 90.00, 90.00 degrees
Space group Pnma (No. 62)
Asymmetric unit:
Mn 0.1530 0.2500 0.0943 (multiplicity 4)
Au 0.0910 0.2500 0.7687 (multiplicity 4)
Au 0.1515 0.2500 0.4267 (multiplicity 4)

11.
A geometry-optimized YPRu2Se structure. Source: Alexandria, functional GGA-PBE.

Results
* spin magnetization: 0.673 μB per atom
* formation energy without anion corrections: 8.52 eV/f.u.
* energy: -5.078 eV/atom
* mass density: 5.19 g/cm3
* volume: 25.67 A^3/atom

Cell lengths 4.9843, 4.9843, 5.1661 Å; angles 90.00, 90.00, 90.00 degrees
Space group P4/mmm (No. 123)
Asymmetric unit:
Y 0.0000 0.0000 0.0000 (multiplicity 1)
P 0.0000 0.0000 0.5000 (multiplicity 1)
Ru 0.0000 0.5000 0.0000 (multiplicity 2)
Se 0.5000 0.5000 0.5000 (multiplicity 1)

12.
A geometry-optimized SmEr2ThS4 structure. Source: Alexandria, functional GGA-PBE.

Results
* spin magnetization: 0.000 μB per atom
* formation energy without anion corrections: -15.49 eV/f.u.
* energy: -6.658 eV/atom
* mass density: 8.08 g/cm3
* volume: 21.72 A^3/atom

Cell lengths 6.7896, 3.9018, 6.9341 Å; angles 90.00, 108.95, 90.00 degrees
Space group P2/m (No. 10)
Asymmetric unit:
Sm 0.0000 0.0000 0.0000 (multiplicity 1)
Er 0.0000 0.5000 0.5000 (multiplicity 1)
Er 0.5000 0.0000 0.5000 (multiplicity 1)
Th 0.5000 0.5000 0.0000 (multiplicity 1)
S 0.2425 0.0000 0.7329 (multiplicity 2)
S 0.2537 0.5000 0.2657 (multiplicity 2)

13.
A geometry-optimized Ac6GeRh2I3 structure. Source: Alexandria, functional GGA-PBE.

Results
* spin magnetization: 0.000 μB per atom
* formation energy without anion corrections: -11.64 eV/f.u.
* energy: -5.022 eV/atom
* mass density: 7.50 g/cm3
* volume: 37.31 A^3/atom

Cell lengths 7.7867, 13.4864, 8.9126 Å; angles 90.00, 106.90, 90.00 degrees
Space group C2/m (No. 12)
Asymmetric unit:
Ac 0.2142 0.0000 0.1880 (multiplicity 4)
Ac 0.2366 0.3257 0.1883 (multiplicity 8)
Ge 0.0000 0.5000 0.0000 (multiplicity 2)
Rh 0.0000 0.1670 0.0000 (multiplicity 4)
I 0.0000 0.0000 0.5000 (multiplicity 2)
I 0.0000 0.3370 0.5000 (multiplicity 4)

14.
A geometry-optimized Sn2Hg3Pb8 structure. Source: Alexandria, functional GGA-PBE.

Results
* spin magnetization: 0.000 μB per atom
* energy: -2.905 eV/atom
* mass density: 10.25 g/cm3
* volume: 31.10 A^3/atom

Cell lengths 11.3523, 20.6689, 3.4463 Å; angles 90.00, 90.00, 90.00 degrees
Space group Cmmm (No. 65)
Asymmetric unit:
Sn 0.0000 0.2374 0.0000 (multiplicity 4)
Hg 0.0000 0.5000 0.0000 (multiplicity 2)
Hg 0.2438 0.0000 0.5000 (multiplicity 4)
Pb 0.0000 0.0893 0.5000 (multiplicity 4)
Pb 0.0000 0.3711 0.5000 (multiplicity 4)
Pb 0.2456 0.1651 0.0000 (multiplicity 8)

15.
A geometry-optimized V2CrIr structure. Source: Alexandria, functional GGA-PBE.

Results
* spin magnetization: 0.000 μB per atom
* energy: -9.512 eV/atom
* mass density: 10.99 g/cm3
* volume: 13.08 A^3/atom

Cell lengths 2.9374, 2.9374, 6.0626 Å; angles 90.00, 90.00, 90.00 degrees
Space group P4/mmm (No. 123)
Asymmetric unit:
V 0.0000 0.0000 0.2252 (multiplicity 2)
Cr 0.5000 0.5000 0.0000 (multiplicity 1)
Ir 0.5000 0.5000 0.5000 (multiplicity 1)

16.
A geometry-optimized BeZnGaNi structure. Source: Alexandria, functional GGA-PBE.

Results
* spin magnetization: 0.000 μB per atom
* energy: -3.522 eV/atom
* mass density: 7.03 g/cm3
* volume: 11.97 A^3/atom

Cell lengths 5.7645, 5.7645, 5.7645 Å; angles 90.00, 90.00, 90.00 degrees
Space group F-43m (No. 216)
Asymmetric unit:
Be 0.0000 0.0000 0.0000 (multiplicity 4)
Zn 0.2500 0.2500 0.7500 (multiplicity 4)
Ga 0.2500 0.2500 0.2500 (multiplicity 4)
Ni 0.0000 0.0000 0.5000 (multiplicity 4)

17.
A geometry-optimized EuLuTh structure. Source: Alexandria, functional GGA-PBE.

Results
* spin magnetization: 2.537 μB per atom
* energy: -7.315 eV/atom
* mass density: 9.31 g/cm3
* volume: 33.23 A^3/atom

Cell lengths 3.5978, 3.5978, 8.8938 Å; angles 90.00, 90.00, 120.00 degrees
Space group P3m1 (No. 156)
Asymmetric unit:
Eu 0.0000 0.0000 0.0000 (multiplicity 1)
Lu 0.3333 0.6667 0.6522 (multiplicity 1)
Th 0.6667 0.3333 0.3435 (multiplicity 1)

18.
A geometry-optimized Tb2NdScSb4 structure. Source: Alexandria, functional GGA-PBE.

Results
* spin magnetization: 0.000 μB per atom
* formation energy without anion corrections: -8.63 eV/f.u.
* energy: -5.685 eV/atom
* mass density: 6.94 g/cm3
* volume: 29.74 A^3/atom

Cell lengths 7.5813, 4.3853, 7.5922 Å; angles 90.00, 109.50, 90.00 degrees
Space group P2/m (No. 10)
Asymmetric unit:
Tb 0.0000 0.0000 0.0000 (multiplicity 1)
Tb 0.5000 0.5000 0.0000 (multiplicity 1)
Nd 0.0000 0.5000 0.5000 (multiplicity 1)
Sc 0.5000 0.0000 0.5000 (multiplicity 1)
Sb 0.2604 0.0000 0.7502 (multiplicity 2)
Sb 0.2630 0.5000 0.2577 (multiplicity 2)

19.
A geometry-optimized HoAg2Ge structure. Source: Alexandria, functional GGA-PBE.

Results
* spin magnetization: 0.000 μB per atom
* energy: -4.007 eV/atom
* mass density: 9.16 g/cm3
* volume: 20.54 A^3/atom

Cell lengths 4.1681, 4.1681, 4.7293 Å; angles 90.00, 90.00, 90.00 degrees
Space group P4/mmm (No. 123)
Asymmetric unit:
Ho 0.0000 0.0000 0.0000 (multiplicity 1)
Ag 0.0000 0.5000 0.5000 (multiplicity 2)
Ge 0.5000 0.5000 0.0000 (multiplicity 1)

20.
A geometry-optimized LiAl2In2 structure. Source: Alexandria, functional GGA-PBE.

Results
* spin magnetization: 0.000 μB per atom
* energy: -2.878 eV/atom
* mass density: 3.97 g/cm3
* volume: 24.33 A^3/atom

Cell lengths 4.5090, 4.5090, 11.9682 Å; angles 90.00, 90.00, 90.00 degrees
Space group I4/mmm (No. 139)
Asymmetric unit:
Li 0.0000 0.0000 0.0000 (multiplicity 2)
Al 0.0000 0.0000 0.3947 (multiplicity 4)
In 0.0000 0.5000 0.2500 (multiplicity 4)